Entry 1:
Entry from the Alexandria database: a relaxed TaNi2Mo crystal (PBE).

Structure (POSCAR):
```
TaNi2Mo
1.0
2.694 0.000 0.000
0.000 2.694 0.000
0.000 0.000 7.617
Ta Ni Mo
1 2 1
direct
0.000 0.000 0.000
0.500 0.500 0.255
0.500 0.500 0.745
0.000 0.000 0.500
```

## Properties
* V: 55 Å³ per cell
* energy above the lowest structure with this stoichiometry: 54.4 meV per atom
* final energy: -8.6384 eV/atom
* calculated formation energy: -0.077 eV per atom

---

Entry 2:
Entry from the Alexandria database: a relaxed Ba2Ga2Sn crystal (PBE).

Structure (POSCAR):
```
Ba2Ga2Sn
1.0
6.536 -2.326 0.000
6.536 2.326 0.000
-4.854 0.000 11.273
Ba Ga Sn
4 4 2
direct
0.105 0.105 0.402
0.288 0.288 0.853
0.712 0.712 0.147
0.895 0.895 0.598
0.011 0.011 0.904
0.388 0.388 0.388
0.612 0.612 0.612
0.989 0.989 0.096
0.430 0.430 0.179
0.570 0.570 0.821
```

## Properties
* V: 343 Å³ per cell
* energy above the lowest structure with this stoichiometry: 0.0 meV per atom
* final energy: -3.2669 eV/atom
* calculated formation energy: -0.486 eV per atom

---

Entry 3:
Entry from the Alexandria database: a relaxed CsTiSe3 crystal (PBE).

Structure (POSCAR):
```
CsTiSe3
1.0
5.137 0.000 0.000
0.000 5.137 0.000
0.000 0.000 5.137
Cs Ti Se
1 1 3
direct
0.000 0.000 0.000
0.500 0.500 0.500
0.000 0.500 0.500
0.500 0.000 0.500
0.500 0.500 0.000
```

## Properties
* V: 136 Å³ per cell
* energy above the lowest structure with this stoichiometry: 140.5 meV per atom
* final energy: -4.7523 eV/atom

---

Entry 4:
Entry from the Alexandria database: a relaxed ScNi2GeH crystal (PBE).

Structure (POSCAR):
```
ScNi2GeH
1.0
3.838 0.000 0.000
0.000 3.838 0.000
0.000 0.000 4.010
Sc Ni Ge H
1 2 1 1
direct
0.000 0.000 0.000
0.000 0.500 0.500
0.500 0.000 0.500
0.500 0.500 0.000
0.000 0.000 0.500
```

## Properties
* V: 59 Å³ per cell
* energy above the lowest structure with this stoichiometry: 223.9 meV per atom
* final energy: -5.5226 eV/atom

---

Entry 5:
Entry from the Alexandria database: a relaxed K2TaS3 crystal (PBE).

Structure (POSCAR):
```
K2TaS3
1.0
12.806 0.000 0.000
0.000 4.066 0.000
0.000 0.000 13.456
K Ta S
8 4 12
direct
0.018 0.250 0.164
0.158 0.250 0.537
0.342 0.750 0.037
0.482 0.750 0.664
0.518 0.250 0.336
0.658 0.250 0.963
0.842 0.750 0.463
0.982 0.750 0.836
0.245 0.750 0.314
0.255 0.250 0.814
0.745 0.750 0.186
0.755 0.250 0.686
0.072 0.750 0.354
0.145 0.250 0.947
0.221 0.750 0.721
0.279 0.250 0.221
0.355 0.750 0.447
0.428 0.250 0.854
0.572 0.750 0.146
0.645 0.250 0.553
0.721 0.750 0.779
0.779 0.250 0.279
0.855 0.750 0.053
0.928 0.250 0.646
```

## Properties
* V: 701 Å³ per cell
* final energy: -5.4752 eV/atom

---

Entry 6:
Entry from the Alexandria database: a relaxed MgSiRu2 crystal (PBE).

Structure (POSCAR):
```
MgSiRu2
1.0
1.495 -2.336 0.000
1.495 2.336 0.000
0.000 0.000 8.638
Mg Si Ru
1 1 2
direct
0.000 0.000 0.000
0.500 0.500 0.724
0.000 0.000 0.512
0.500 0.500 0.253
```

## Properties
* V: 60 Å³ per cell
* final energy: -6.1873 eV/atom

---

Number 1: magnetization 0.00 μB per atom. Number 2: magnetization 0.00 μB per atom. Number 3: magnetization 0.00 μB per atom. Number 4: magnetization 0.00 μB per atom. Number 5: magnetization 0.17 μB per atom. Number 6: magnetization 0.20 μB per atom.